The following is a PBE calculation of a relaxed structure of MnRhPb2, from the Alexandria database.

The crystal system is trigonal. The formation energy is 336 meV per atom. The calculated volume comes out at 21.26 Å³ per atom. Its offset from the most stable computed form is 1.064 eV/f.u.

The structure belongs to space group R-3m (No. 166, hexagonal axes); the cell edges are 3.3628, 3.3628 and 26.0543 Å and the angles 90.00°, 90.00° and 120.00°. The asymmetric unit holds Mn at (0.0000, 0.0000, 0.0000), Rh at (0.0000, 0.0000, 0.5000) and Pb at (0.0000, 0.0000, 0.2453).

The following is a PBE calculation of a relaxed structure of Nb2InSn, from the Alexandria database.

The crystal system is tetragonal. The formation energy is 122 meV per atom. The calculated volume comes out at 19.99 Å³ per atom.

The structure belongs to space group P4/mmm (No. 123); the cell edges are 4.2645, 4.2645 and 4.3964 Å and the angles 90.00°, 90.00° and 90.00°. The asymmetric unit holds Nb at (0.0000, 0.5000, 0.0000), In at (0.0000, 0.0000, 0.5000) and Sn at (0.5000, 0.5000, 0.5000).

The following is a PBE calculation of a relaxed structure of PmGePt4, from the Alexandria database.

The crystal system is orthorhombic. The formation energy is -740 meV per atom. The calculated volume comes out at 18.15 Å³ per atom. Its offset from the most stable computed form is 0.000 eV/f.u.

The structure belongs to space group Pmma (No. 51); the cell edges are 7.6869, 4.0274 and 7.0344 Å and the angles 90.00°, 90.00° and 90.00°. The asymmetric unit holds Pm at (0.2500, 0.0000, 0.1371), Ge at (0.2500, 0.0000, 0.7213), Pt at (0.0000, 0.0000, 0.5000), Pt at (0.0495, 0.5000, 0.8069) and Pt at (0.2500, 0.5000, 0.4508).